Version A
An optimized crystal structure of Dy3MgCo. Source: the Alexandria database, functional PBE.

Calculated values
As for the symmetry: C2/m (12). The density of states at the Fermi level is 4.6 states/eV/f.u.

Geometry as POSCAR:
```
Dy3MgCo
1.0
6.270 -1.768 0.000
6.270 1.768 0.000
-2.032 0.000 11.536
Dy Mg Co
6 2 2
Cartesian
-0.292 0.000 2.093
3.142 0.000 3.034
3.703 0.000 6.437
6.805 0.000 5.098
7.365 0.000 8.501
10.800 0.000 9.442
2.339 0.000 11.256
8.169 0.000 0.280
-0.466 0.000 7.097
10.973 0.000 4.438
```



Version B
An optimized crystal structure of Dy3MgCo. Source: the Alexandria database, functional PBE.

Calculated values
As for the symmetry: Pm-3m (221). The density of states at the Fermi level is 5.4 states/eV/f.u.

Geometry as POSCAR:
```
Dy3MgCo
1.0
5.202 0.000 0.000
0.000 5.202 0.000
0.000 0.000 5.202
Dy Mg Co
3 1 1
Cartesian
0.000 0.000 2.601
0.000 2.601 0.000
2.601 0.000 0.000
2.601 2.601 2.601
0.000 0.000 0.000
```



Relative to the most stable structure, the computed energies are version A 0; version B 73, all in meV/atom.



Version A
An optimized crystal structure of PmDyMgCo. Source: the Alexandria database, functional PBE.

Calculated values
As for the symmetry: F-43m (216). The density of states at the Fermi level is 2.6 states/eV/f.u.

Geometry as POSCAR:
```
PmDyMgCo
1.0
0.000 3.598 3.598
3.598 0.000 3.598
3.598 3.598 0.000
Pm Dy Mg Co
1 1 1 1
Cartesian
0.000 0.000 0.000
3.598 3.598 3.598
1.799 1.799 1.799
5.397 5.397 5.397
```



Version B
An optimized crystal structure of PmDyMgCo. Source: the Alexandria database, functional PBE.

Calculated values
As for the symmetry: P4mm (99). The density of states at the Fermi level is 3.6 states/eV/f.u.

Geometry as POSCAR:
```
PmDyMgCo
1.0
3.445 0.000 0.000
0.000 3.445 0.000
0.000 0.000 8.148
Pm Dy Mg Co
1 1 1 1
Cartesian
0.000 0.000 0.000
0.000 0.000 3.293
1.722 1.722 5.660
1.722 1.722 1.730
```



Relative to the most stable structure, the computed energies are version A 121; version B 0, all in meV/atom.



Version A
An optimized crystal structure of SmDyMgCo. Source: the Alexandria database, functional PBE.

Calculated values
As for the symmetry: P4mm (99). The density of states at the Fermi level is 3.6 states/eV/f.u.

Geometry as POSCAR:
```
SmDyMgCo
1.0
3.436 0.000 0.000
0.000 3.436 0.000
0.000 0.000 8.132
Sm Dy Mg Co
1 1 1 1
Cartesian
0.000 0.000 0.000
0.000 0.000 4.850
1.718 1.718 2.466
1.718 1.718 6.426
```



Version B
An optimized crystal structure of SmDyMgCo. Source: the Alexandria database, functional PBE.

Calculated values
As for the symmetry: F-43m (216). The density of states at the Fermi level is 2.5 states/eV/f.u.

Geometry as POSCAR:
```
SmDyMgCo
1.0
0.000 3.589 3.589
3.589 0.000 3.589
3.589 3.589 0.000
Sm Dy Mg Co
1 1 1 1
Cartesian
0.000 0.000 0.000
3.589 3.589 3.589
5.383 5.383 5.383
1.794 1.794 1.794
```



Relative to the most stable structure, the computed energies are version A 0; version B 122, all in meV/atom.



Version A
An optimized crystal structure of DyNbCo2. Source: the Alexandria database, functional PBE.

Calculated values
As for the symmetry: P4/mmm (123). The density of states at the Fermi level is 3.9 states/eV/f.u.

Geometry as POSCAR:
```
DyNbCo2
1.0
4.589 0.000 0.000
0.000 4.589 0.000
0.000 0.000 3.095
Dy Nb Co
1 1 2
Cartesian
0.000 0.000 0.000
2.294 2.294 0.000
0.000 2.294 1.547
2.294 0.000 1.547
```



Version B
An optimized crystal structure of DyNbCo2. Source: the Alexandria database, functional PBE.

Calculated values
As for the symmetry: P4/mmm (123). The density of states at the Fermi level is 4.9 states/eV/f.u.

Geometry as POSCAR:
```
DyNbCo2
1.0
3.124 0.000 0.000
0.000 3.124 0.000
0.000 0.000 6.770
Dy Nb Co
1 1 2
Cartesian
0.000 0.000 0.000
0.000 0.000 3.385
1.562 1.562 2.029
1.562 1.562 4.741
```



Relative to the most stable structure, the computed energies are version A 120; version B 0, all in meV/atom.



Version A
An optimized crystal structure of NdDy2Co. Source: the Alexandria database, functional PBE.

Calculated values
As for the symmetry: P4/mmm (123). The density of states at the Fermi level is 3.6 states/eV/f.u.

Geometry as POSCAR:
```
NdDy2Co
1.0
3.414 0.000 0.000
0.000 3.414 0.000
0.000 0.000 8.974
Nd Dy Co
1 2 1
Cartesian
0.000 0.000 0.000
1.707 1.707 2.881
1.707 1.707 6.092
0.000 0.000 4.487
```



Version B
An optimized crystal structure of NdDy2Co. Source: the Alexandria database, functional PBE.

Calculated values
As for the symmetry: Pnma (62). The density of states at the Fermi level is 4.6 states/eV/f.u.

Geometry as POSCAR:
```
NdDy2Co
1.0
6.978 0.000 0.000
0.000 9.522 0.000
0.000 0.000 6.358
Nd Dy Co
4 8 4
Cartesian
0.305 2.380 0.888
3.184 7.141 4.067
3.794 2.380 2.291
6.673 7.141 5.470
1.193 0.658 4.299
1.193 4.102 4.299
2.296 5.419 1.120
2.296 8.863 1.120
4.682 0.658 5.238
4.682 4.102 5.238
5.785 5.419 2.059
5.785 8.863 2.059
0.795 7.141 2.786
2.694 2.380 5.965
4.284 7.141 0.393
6.183 2.380 3.572
```



Relative to the most stable structure, the computed energies are version A 64; version B 0, all in meV/atom.



Version A
An optimized crystal structure of NdDy2Co. Source: the Alexandria database, functional PBE.

Calculated values
As for the symmetry: Cmcm (63). The density of states at the Fermi level is 5.1 states/eV/f.u.

Geometry as POSCAR:
```
NdDy2Co
1.0
1.833 -6.086 0.000
1.833 6.086 0.000
0.000 0.000 9.521
Nd Dy Co
2 4 2
Cartesian
1.833 5.071 7.140
1.833 -5.071 2.380
1.833 1.725 5.457
1.833 1.725 8.824
1.833 -1.725 0.697
1.833 -1.725 4.063
1.833 3.129 2.380
1.833 -3.129 7.140
```



Version B
An optimized crystal structure of NdDy2Co. Source: the Alexandria database, functional PBE.

Calculated values
As for the symmetry: R-3m (166). The density of states at the Fermi level is 4.5 states/eV/f.u.

Geometry as POSCAR:
```
NdDy2Co
1.0
1.822 1.052 10.341
-1.822 1.052 10.341
0.000 -2.104 10.341
Nd Dy Co
1 2 1
Cartesian
0.000 0.000 0.000
0.000 0.000 3.594
0.000 0.000 27.429
0.000 0.000 15.511
```



Relative to the most stable structure, the computed energies are version A 0; version B 232, all in meV/atom.